Entry 1:
Fe2O3F: relaxed, PBEsol.

Calculated values
Formation energy (no corrections) = -1.382 eV/atom

Cell lengths 5.2603, 5.2603, 5.2603 Å; angles 115.02, 109.20, 104.36 degrees
Atoms (fractional coordinates):
Fe  0.0000  0.0000  0.5000
Fe  0.0000  0.5000  0.0000
Fe  0.4719  0.2219  0.2500
Fe  0.5281  0.7781  0.7500
O  0.1900  0.9400  0.2500
O  0.3031  0.0000  0.8031
O  0.3031  0.5000  0.3031
O  0.6969  0.0000  0.1969
O  0.6969  0.5000  0.6969
O  0.8100  0.0600  0.7500
F  0.2276  0.4776  0.7500
F  0.7724  0.5224  0.2500

---

Entry 2:
Fe2OF: relaxed, PBEsol.

Calculated values
Formation energy (no corrections) = -0.554 eV/atom

Cell lengths 3.7660, 3.7660, 3.7660 Å; angles 60.00, 60.00, 60.00 degrees
Atoms (fractional coordinates):
Fe  0.2500  0.2500  0.2500
Fe  0.7500  0.7500  0.7500
O  0.0000  0.0000  0.0000
F  0.5000  0.5000  0.5000

---

Entry 3:
Fe4O5F3: relaxed, PBEsol.

Calculated values
Formation energy (no corrections) = -1.510 eV/atom

Cell lengths 5.7445, 4.5679, 4.5679 Å; angles 83.19, 90.00, 90.00 degrees
Atoms (fractional coordinates):
Fe  0.0000  0.0000  0.0000
Fe  0.2326  0.5409  0.5409
Fe  0.5000  0.0390  0.0390
Fe  0.7674  0.5409  0.5409
O  0.0000  0.7293  0.7293
O  0.2494  0.2262  0.8321
O  0.2494  0.8321  0.2262
O  0.7506  0.2262  0.8321
O  0.7506  0.8321  0.2262
F  0.0000  0.3190  0.3190
F  0.5000  0.3417  0.3417
F  0.5000  0.7362  0.7362

---

Entry 4:
Fe2OF3: relaxed, PBEsol.

Calculated values
Formation energy (no corrections) = -1.708 eV/atom

Cell lengths 5.6542, 5.6542, 7.5709 Å; angles 110.47, 110.47, 71.08 degrees
Atoms (fractional coordinates):
Fe  0.0000  0.0000  0.0000
Fe  0.3546  0.3109  0.3376
Fe  0.3857  0.2911  0.8402
Fe  0.6891  0.6454  0.6624
Fe  0.7089  0.6143  0.1598
Fe  0.9891  0.0109  0.5000
O  0.0034  0.3385  0.1741
O  0.6615  0.9966  0.8259
O  0.7051  0.2949  0.5000
F  0.0718  0.6031  0.8380
F  0.1251  0.0764  0.8014
F  0.2510  0.2167  0.5381
F  0.3003  0.6997  0.5000
F  0.3969  0.9282  0.1620
F  0.4489  0.4155  0.1370
F  0.5845  0.5511  0.8630
F  0.7833  0.7490  0.4619
F  0.9236  0.8749  0.1986

---

Entry 5:
FeO2F2: relaxed, PBEsol.

Calculated values
Formation energy (no corrections) = -0.647 eV/atom

Cell lengths 3.5024, 3.5024, 3.7368 Å; angles 90.00, 90.00, 90.00 degrees
Atoms (fractional coordinates):
Fe  0.0000  0.0000  0.0000
O  0.0000  0.5000  0.0000
O  0.5000  0.0000  0.0000
F  0.0000  0.0000  0.5000
F  0.5000  0.5000  0.5000

---

Entry 6:
FeOF: relaxed, PBEsol.

Calculated values
Formation energy (no corrections) = -1.468 eV/atom

Cell lengths 6.1431, 6.1431, 3.7919 Å; angles 90.00, 90.00, 90.00 degrees
Atoms (fractional coordinates):
Fe  0.0000  0.2571  0.0000
Fe  0.0000  0.7429  0.0000
Fe  0.2571  0.0000  0.5000
Fe  0.7429  0.0000  0.5000
O  0.0000  0.2228  0.5000
O  0.0000  0.7772  0.5000
O  0.2228  0.0000  0.0000
O  0.7772  0.0000  0.0000
F  0.2053  0.5000  0.0000
F  0.5000  0.2053  0.5000
F  0.5000  0.7947  0.5000
F  0.7947  0.5000  0.0000

---

Entry 7:
Fe6O7F5: relaxed, PBEsol.

Calculated values
Formation energy (no corrections) = -1.496 eV/atom

Cell lengths 5.4615, 5.4615, 7.4435 Å; angles 111.98, 111.98, 68.69 degrees
Atoms (fractional coordinates):
Fe  0.0000  0.0000  0.0000
Fe  0.2699  0.3433  0.8520
Fe  0.3032  0.3651  0.3267
Fe  0.6349  0.6968  0.6733
Fe  0.6567  0.7301  0.1480
Fe  0.9718  0.0282  0.5000
O  0.0085  0.6640  0.3273
O  0.2028  0.2391  0.0420
O  0.2954  0.7046  0.0000
O  0.3360  0.9915  0.6727
O  0.6120  0.0689  0.3352
O  0.7609  0.7972  0.9580
O  0.9311  0.3880  0.6648
F  0.0728  0.1253  0.3085
F  0.3949  0.4531  0.6205
F  0.5469  0.6051  0.3795
F  0.6846  0.3154  0.0000
F  0.8747  0.9272  0.6915

---

Entry 8:
Fe2OF3: relaxed, PBEsol.

Calculated values
Formation energy (no corrections) = -1.650 eV/atom

Cell lengths 11.9218, 4.6928, 4.6928 Å; angles 93.13, 90.00, 90.00 degrees
Atoms (fractional coordinates):
Fe  0.0000  0.0000  0.0000
Fe  0.1191  0.4614  0.4614
Fe  0.2492  0.0117  0.0117
Fe  0.3813  0.4869  0.4869
Fe  0.5000  0.9534  0.9534
Fe  0.6187  0.4869  0.4869
Fe  0.7508  0.0117  0.0117
Fe  0.8809  0.4614  0.4614
O  0.0000  0.2709  0.2709
O  0.2528  0.3004  0.3004
O  0.5000  0.6806  0.6806
O  0.7472  0.3004  0.3004
F  0.0000  0.6939  0.6939
F  0.1154  0.1851  0.7946
F  0.1154  0.7946  0.1851
F  0.2464  0.6972  0.6972
F  0.3836  0.1636  0.7768
F  0.3836  0.7768  0.1636
F  0.5000  0.2558  0.2558
F  0.6164  0.1636  0.7768
F  0.6164  0.7768  0.1636
F  0.7536  0.6972  0.6972
F  0.8846  0.1851  0.7946
F  0.8846  0.7946  0.1851

---

Entry 9:
Fe6OF11: relaxed, PBEsol.

Calculated values
Formation energy (no corrections) = -1.796 eV/atom

Cell lengths 2.9493, 10.9704, 10.9704 Å; angles 143.73, 90.00, 90.00 degrees
Atoms (fractional coordinates):
Fe  0.0000  0.0000  0.0000
Fe  0.0000  0.3126  0.6446
Fe  0.0000  0.6446  0.3126
Fe  0.5000  0.1440  0.8104
Fe  0.5000  0.4612  0.4612
Fe  0.5000  0.8104  0.1440
O  0.5000  0.1847  0.1847
F  0.0000  0.0679  0.8697
F  0.0000  0.2144  0.7403
F  0.0000  0.4231  0.5644
F  0.0000  0.5644  0.4231
F  0.0000  0.7403  0.2144
F  0.0000  0.8697  0.0679
F  0.5000  0.1017  0.4356
F  0.5000  0.4356  0.1017
F  0.5000  0.5156  0.8575
F  0.5000  0.7738  0.7738
F  0.5000  0.8575  0.5156

---

Entry 10:
Fe4OF7: relaxed, PBEsol.

Calculated values
Formation energy (no corrections) = -1.793 eV/atom

Cell lengths 5.9419, 4.8482, 4.8482 Å; angles 91.31, 90.00, 90.00 degrees
Atoms (fractional coordinates):
Fe  0.0000  0.0000  0.0000
Fe  0.2258  0.4708  0.4708
Fe  0.5000  0.9743  0.9743
Fe  0.7742  0.4708  0.4708
O  0.0000  0.2715  0.2715
F  0.0000  0.7024  0.7024
F  0.2563  0.1809  0.7683
F  0.2563  0.7683  0.1809
F  0.5000  0.2732  0.2732
F  0.5000  0.6704  0.6704
F  0.7437  0.1809  0.7683
F  0.7437  0.7683  0.1809

---

Entry 11:
Fe4O3F5: relaxed, PBEsol.

Calculated values
Formation energy (no corrections) = -1.629 eV/atom

Cell lengths 5.5799, 5.5799, 5.5799 Å; angles 118.45, 100.77, 109.68 degrees
Atoms (fractional coordinates):
Fe  0.0000  0.0000  0.0000
Fe  0.4983  0.2691  0.7707
Fe  0.4983  0.7276  0.2293
Fe  0.9609  0.4609  0.5000
O  0.2918  0.2918  0.0000
O  0.6684  0.1684  0.5000
O  0.7049  0.7049  0.0000
F  0.1947  0.2459  0.4551
F  0.1947  0.7396  0.9488
F  0.2875  0.7875  0.5000
F  0.7908  0.2459  0.0512
F  0.7908  0.7396  0.5449

---

Entry 12:
Fe3O2F2: relaxed, PBEsol.

Calculated values
Formation energy (no corrections) = -1.171 eV/atom

Cell lengths 6.2582, 2.8009, 8.2840 Å; angles 90.00, 90.00, 90.00 degrees
Atoms (fractional coordinates):
Fe  0.0000  0.0000  0.0000
Fe  0.2500  0.0000  0.3193
Fe  0.2500  0.5000  0.7639
Fe  0.5000  0.0000  0.0000
Fe  0.7500  0.0000  0.6807
Fe  0.7500  0.5000  0.2361
O  0.0484  0.0000  0.7681
O  0.4516  0.0000  0.7681
O  0.5484  0.0000  0.2319
O  0.9516  0.0000  0.2319
F  0.2500  0.5000  0.1119
F  0.2500  0.5000  0.4943
F  0.7500  0.5000  0.5057
F  0.7500  0.5000  0.8881

---

Entry 13:
Fe5O2F8: relaxed, PBEsol.

Calculated values
Formation energy (no corrections) = -1.742 eV/atom

Cell lengths 4.7805, 4.7770, 15.8688 Å; angles 90.00, 107.28, 90.00 degrees
Atoms (fractional coordinates):
Fe  0.0000  0.0000  0.0000
Fe  0.0000  0.5000  0.5000
Fe  0.1864  0.0044  0.1896
Fe  0.1864  0.4956  0.6896
Fe  0.3687  0.5325  0.8995
Fe  0.3687  0.9675  0.3995
Fe  0.6313  0.0325  0.6005
Fe  0.6313  0.4675  0.1005
Fe  0.8136  0.5044  0.3104
Fe  0.8136  0.9956  0.8104
O  0.0930  0.6928  0.4025
O  0.0930  0.8072  0.9025
O  0.9070  0.1928  0.0975
O  0.9070  0.3072  0.5975
F  0.0949  0.1936  0.2964
F  0.0949  0.3064  0.7964
F  0.3005  0.2009  0.5001
F  0.3005  0.2991  0.0001
F  0.3240  0.7225  0.6005
F  0.3240  0.7775  0.1005
F  0.4863  0.7008  0.7945
F  0.4863  0.7992  0.2945
F  0.5137  0.2008  0.7055
F  0.5137  0.2992  0.2055
F  0.6760  0.2225  0.8995
F  0.6760  0.2775  0.3995
F  0.6995  0.7009  0.9999
F  0.6995  0.7991  0.4999
F  0.9051  0.6936  0.2036
F  0.9051  0.8064  0.7036

---

Entry 14:
Fe2OF3: relaxed, PBEsol.

Calculated values
Formation energy (no corrections) = -1.707 eV/atom

Cell lengths 5.6569, 5.6569, 5.6569 Å; angles 115.70, 104.20, 108.73 degrees
Atoms (fractional coordinates):
Fe  0.0000  0.0000  0.5000
Fe  0.0000  0.5000  0.0000
Fe  0.4657  0.2157  0.2500
Fe  0.5343  0.7843  0.7500
O  0.1825  0.9325  0.2500
O  0.8175  0.0675  0.7500
F  0.2214  0.4714  0.7500
F  0.3007  0.0000  0.8007
F  0.3007  0.5000  0.3007
F  0.6993  0.0000  0.1993
F  0.6993  0.5000  0.6993
F  0.7786  0.5286  0.2500

---

Entry 15:
FeOF: relaxed, PBEsol.

Calculated values
Formation energy (no corrections) = -1.524 eV/atom

Cell lengths 4.8342, 4.3856, 5.3424 Å; angles 90.00, 90.21, 90.00 degrees
Atoms (fractional coordinates):
Fe  0.2202  0.0193  0.1383
Fe  0.2202  0.4807  0.6383
Fe  0.7798  0.5193  0.3617
Fe  0.7798  0.9807  0.8617
O  0.0816  0.2331  0.8708
O  0.0816  0.2669  0.3708
O  0.9184  0.7331  0.6292
O  0.9184  0.7669  0.1292
F  0.4171  0.7446  0.3820
F  0.4171  0.7554  0.8820
F  0.5829  0.2446  0.1180
F  0.5829  0.2554  0.6180

---

Entry 16:
Fe3O2F2: relaxed, PBEsol.

Calculated values
Formation energy (no corrections) = -1.196 eV/atom

Cell lengths 5.5882, 5.9097, 5.4321 Å; angles 90.00, 117.58, 90.00 degrees
Atoms (fractional coordinates):
Fe  0.0000  0.0000  0.0000
Fe  0.0000  0.5000  0.5000
Fe  0.3274  0.0640  0.7507
Fe  0.3274  0.4360  0.2507
Fe  0.6726  0.5640  0.7493
Fe  0.6726  0.9360  0.2493
O  0.3557  0.1316  0.1287
O  0.3557  0.3684  0.6287
O  0.6443  0.6316  0.3713
O  0.6443  0.8684  0.8713
F  0.1131  0.6561  0.9168
F  0.1131  0.8439  0.4168
F  0.8869  0.1561  0.5832
F  0.8869  0.3439  0.0832

---

Entry 17:
FeOF: relaxed, PBEsol.

Calculated values
Formation energy (no corrections) = -1.475 eV/atom

Cell lengths 3.0426, 3.7712, 5.8853 Å; angles 90.00, 90.00, 90.00 degrees
Atoms (fractional coordinates):
Fe  0.2500  0.2500  0.1425
Fe  0.7500  0.7500  0.8575
O  0.2500  0.7500  0.1031
O  0.7500  0.2500  0.8969
F  0.2500  0.7500  0.6497
F  0.7500  0.2500  0.3503

---

Entry 18:
Fe4OF6: relaxed, PBEsol.

Calculated values
Formation energy (no corrections) = -1.584 eV/atom

Cell lengths 6.9788, 6.9788, 4.9084 Å; angles 90.00, 90.00, 90.00 degrees
Atoms (fractional coordinates):
Fe  0.0016  0.2500  0.0763
Fe  0.2500  0.0016  0.5763
Fe  0.2500  0.4984  0.5763
Fe  0.4984  0.2500  0.0763
Fe  0.5016  0.7500  0.9237
Fe  0.7500  0.5016  0.4237
Fe  0.7500  0.9984  0.4237
Fe  0.9984  0.7500  0.9237
O  0.2500  0.7500  0.7500
O  0.7500  0.2500  0.2500
F  0.0423  0.5423  0.2500
F  0.0423  0.9577  0.2500
F  0.2500  0.2500  0.3367
F  0.2500  0.2500  0.8367
F  0.4577  0.5423  0.2500
F  0.4577  0.9577  0.2500
F  0.5423  0.0423  0.7500
F  0.5423  0.4577  0.7500
F  0.7500  0.7500  0.1633
F  0.7500  0.7500  0.6633
F  0.9577  0.0423  0.7500
F  0.9577  0.4577  0.7500

---

Entry 19:
FeOF: relaxed, PBEsol.

Calculated values
Formation energy (no corrections) = -1.534 eV/atom

Cell lengths 9.3637, 2.8345, 4.3570 Å; angles 90.00, 90.00, 90.00 degrees
Atoms (fractional coordinates):
Fe  0.1508  0.2500  0.0101
Fe  0.3492  0.7500  0.5101
Fe  0.6508  0.2500  0.4899
Fe  0.8492  0.7500  0.9899
O  0.2142  0.7500  0.7945
O  0.2858  0.2500  0.2945
O  0.7142  0.7500  0.7055
O  0.7858  0.2500  0.2055
F  0.0382  0.7500  0.2247
F  0.4618  0.2500  0.7247
F  0.5382  0.7500  0.2753
F  0.9618  0.2500  0.7753